{"formula": "TbB2C", "functional": "PBE", "state": "relaxed", "delta_e_f_kj_per_mol_atoms": -50.26, "sg": "P4_2/mbc", "lattice_angstrom": [[6.808, 0.000, 0.000], [0.000, 6.808, 0.000], [0.000, 0.000, 7.544]], "species": ["Tb", "Tb", "Tb", "Tb", "Tb", "Tb", "Tb", "Tb", "B", "B", "B", "B", "B", "B", "B", "B", "B", "B", "B", "B", "B", "B", "B", "B", "C", "C", "C", "C", "C", "C", "C", "C"], "fractional_positions": [[0.191, 0.309, 0.250], [0.191, 0.309, 0.750], [0.309, 0.809, 0.250], [0.309, 0.809, 0.750], [0.691, 0.191, 0.250], [0.691, 0.191, 0.750], [0.809, 0.691, 0.250], [0.809, 0.691, 0.750], [0.035, 0.848, 0.000], [0.095, 0.597, 0.000], [0.097, 0.595, 0.500], [0.152, 0.035, 0.500], [0.348, 0.535, 0.500], [0.403, 0.095, 0.500], [0.405, 0.097, 0.000], [0.465, 0.348, 0.000], [0.535, 0.652, 0.000], [0.595, 0.903, 0.000], [0.597, 0.905, 0.500], [0.652, 0.465, 0.500], [0.848, 0.965, 0.500], [0.903, 0.405, 0.500], [0.905, 0.403, 0.000], [0.965, 0.152, 0.000], [0.041, 0.823, 0.500], [0.177, 0.041, 0.000], [0.323, 0.541, 0.000], [0.459, 0.323, 0.500], [0.541, 0.677, 0.500], [0.677, 0.459, 0.000], [0.823, 0.959, 0.000], [0.959, 0.177, 0.500]]}